No. 1
The following is a SCAN calculation of a crystal of KTe2P relaxed with PBEsol, from the Alexandria database.

Summary:
* energy: -23.166 eV/atom
* space group: Cmmm (65)
* formation energy without anion corrections: 0.141 eV/atom

Unit cell a=3.0580 b=5.8232 c=5.8232 alpha=90.27 beta=90.00 gamma=90.00
Closest atoms and distances in Å follow each position.
Element x y z (fractional)
K (0.5000, 0.0000, 0.0000)  2 K 3.06, 8 Te 3.29
P (0.5000, 0.5000, 0.5000)  2 P 3.06, 8 Te 3.29
Te (0.0000, 0.0000, 0.5000)  2 Te 3.06, 4 P 3.29, 4 K 3.29
Te (0.0000, 0.5000, 0.0000)  2 Te 3.06, 4 K 3.29, 4 P 3.29

---

No. 2
The following is a SCAN calculation of a crystal of KTeP2 relaxed with PBEsol, from the Alexandria database.

Summary:
* energy: -16.522 eV/atom
* space group: P4mm (99)
* formation energy without anion corrections: 0.072 eV/atom

Unit cell a=3.4597 b=3.4597 c=8.2748 alpha=90.00 beta=90.00 gamma=90.00
Closest atoms and distances in Å follow each position.
Element x y z (fractional)
K (0.5000, 0.5000, 0.7468)  1 P 3.12, 4 Te 3.36, 4 K 3.46
P (0.0000, 0.0000, 0.1607)  4 P 2.47, 1 Te 2.55
P (0.5000, 0.5000, 0.1240)  4 P 2.47
Te (0.0000, 0.0000, 0.4685)  1 P 2.55

---

No. 3
The following is a SCAN calculation of a crystal of K2TlP relaxed with PBEsol, from the Alexandria database.

Summary:
* energy relative to the elements: 0.053 eV/atom
* energy: -24.800 eV/atom
* space group: C2/m (12)

Unit cell a=3.2576 b=5.4961 c=6.9967 alpha=95.79 beta=90.00 gamma=107.24
Closest atoms and distances in Å follow each position.
Element x y z (fractional)
Tl (0.5000, 0.0000, 0.0000)  2 Tl 3.26, 6 K 3.37-3.62
P (0.0000, 0.0000, 0.5000)  6 K 3.21-3.26, 2 P 3.26
K (0.7380, 0.4759, 0.7122)  3 P 3.21-3.26, 4 K 3.26-3.42, 1 Tl 3.37
K (0.2620, 0.5241, 0.2878)  3 P 3.21-3.26, 4 K 3.26-3.42, 1 Tl 3.37

---

No. 4
The following is a SCAN calculation of a crystal of K2TlP relaxed with PBEsol, from the Alexandria database.

Summary:
* energy relative to the elements: -0.332 eV/atom
* energy: -25.186 eV/atom
* space group: Imm2 (44)

Unit cell a=4.0508 b=5.4988 c=6.5590 alpha=114.78 beta=107.99 gamma=90.00
Closest atoms and distances in Å follow each position.
Element x y z (fractional)
K (0.7999, 0.2999, 0.5997)  2 P 3.31, 2 K 3.40, 4 Tl 3.64
K (0.9786, 0.9786, 0.9573)  2 K 3.40, 4 P 3.47, 2 Tl 3.62
Tl (0.1883, 0.6883, 0.3766)  2 P 2.67
P (0.5332, 0.5332, 0.0664)  2 Tl 2.67

---

No. 5
The following is a SCAN calculation of a crystal of KTlP relaxed with PBEsol, from the Alexandria database.

Summary:
* energy relative to the elements: 0.016 eV/atom
* energy: -30.346 eV/atom
* space group: P3m1 (156)

Unit cell a=3.4060 b=5.0811 c=5.0811 alpha=120.00 beta=90.00 gamma=90.00
Closest atoms and distances in Å follow each position.
Element x y z (fractional)
Tl (0.4320, 0.6667, 0.3333)  3 P 2.97, 3 K 3.29
P (0.5702, 0.3333, 0.6667)  3 Tl 2.97, 3 K 3.28
K (0.9979, 0.0000, 0.0000)  6 P 3.28-3.52, 6 Tl 3.29-3.51, 2 K 3.41

---

No. 6
The following is a SCAN calculation of a crystal of K2TlP relaxed with PBEsol, from the Alexandria database.

Summary:
* energy relative to the elements: -0.339 eV/atom
* energy: -25.193 eV/atom
* space group: Pm (6)

Unit cell a=4.1763 b=5.0795 c=6.7334 alpha=112.05 beta=90.00 gamma=90.00
Closest atoms and distances in Å follow each position.
Element x y z (fractional)
P (0.0000, 0.1743, 0.4762)  2 Tl 2.66
K (0.0000, 0.9100, 0.9440)  1 P 3.32, 4 Tl 3.52-3.53
K (0.5000, 0.6073, 0.3392)  4 P 3.39-3.40, 3 Tl 3.56-3.74
Tl (0.5000, 0.3084, 0.7406)  2 P 2.66

---

Q: Among the records above, which one has the lowest energy?
A: KTlP